This record from Alexandria via LeMat-Bulk describes crystalline Ca3CuB at its relaxed geometry. The functional is PBE-GGA.

The density is 2.26 g/cm³.

The structure belongs to space group Pm-3m (No. 221); the cell edges are 5.2266, 5.2266 and 5.2266 Å and the angles 90.00°, 90.00° and 90.00°. The asymmetric unit holds Ca at (0.0000, 0.0000, 0.5000), Cu at (0.5000, 0.5000, 0.5000) and B at (0.0000, 0.0000, 0.0000).

=====

This record from Alexandria via LeMat-Bulk describes crystalline Y2PaRu3 at its relaxed geometry. The functional is PBE-GGA.

The density is 9.17 g/cm³.

The structure belongs to space group Immm (No. 71); the cell edges are 3.3726, 5.5801 and 13.7004 Å and the angles 90.00°, 90.00° and 90.00°. The asymmetric unit holds Y at (0.0000, 0.0000, 0.1673), Pa at (0.0000, 0.0000, 0.5000), Ru at (0.0000, 0.5000, 0.1485) and Ru at (0.0000, 0.5000, 0.5000).

=====

ΔH_f (0 K) per entry: 0.334; -0.133 eV per atom
Energy above the lowest structure with this stoichiometry per entry: 0; 314 meV per atom